{"formula": "Al2Cu5Au2", "functional": "GGA-PBE", "state": "optimized geometry", "total_magnetization_mub_per_cell": 0.000, "volume_a3_per_cell": 128.2, "relative_energy_mev_per_atom": 0, "cell": [[4.253, 0.000, 0.000], [-2.127, 3.924, -1.939], [0.000, 1.435, 6.970]], "species": ["Al", "Au", "Cu", "Cu", "Al", "Au", "Cu", "Cu", "Cu"], "fractional_positions": [[0.578, 0.157, 0.272], [0.104, 0.208, 0.691], [0.680, 0.361, 0.955], [0.770, 0.540, 0.620], [0.422, 0.843, 0.728], [0.896, 0.792, 0.309], [0.230, 0.460, 0.380], [0.000, 0.000, 0.000], [0.320, 0.639, 0.045]]}

{"formula": "Al6CuAu12", "functional": "GGA-PBE", "state": "optimized geometry", "total_magnetization_mub_per_cell": 0.000, "volume_a3_per_cell": 329.4, "relative_energy_mev_per_atom": 0, "cell": [[7.178, 0.000, 2.301], [-3.477, 6.152, 2.615], [0.224, 0.000, 7.532]], "species": ["Al", "Au", "Au", "Au", "Al", "Au", "Au", "Al", "Au", "Al", "Al", "Au", "Al", "Au", "Au", "Au", "Cu", "Au", "Au"], "fractional_positions": [[0.905, 0.291, 0.483], [0.035, 0.325, 0.106], [0.657, 0.845, 0.869], [0.290, 0.431, 0.675], [0.611, 0.517, 0.775], [0.527, 0.869, 0.285], [0.710, 0.569, 0.325], [0.614, 0.225, 0.291], [0.859, 0.894, 0.431], [0.386, 0.775, 0.709], [0.389, 0.483, 0.225], [0.188, 0.715, 0.155], [0.095, 0.709, 0.517], [0.343, 0.155, 0.131], [0.812, 0.285, 0.845], [0.141, 0.106, 0.569], [0.000, 0.000, 0.000], [0.965, 0.675, 0.894], [0.473, 0.131, 0.715]]}